This record from Alexandria describes a relaxed CeMg2Cd3 crystal. The functional is PBE.

It has space group Cmcm (No. 63), with a = 10.837 Å, b = 8.907 Å, c = 6.199 Å, α = 90.00°, β = 90.00° and γ = 90.00°. The asymmetric unit holds Ce at (0.000, 0.147, 0.250), Mg at (0.225, 0.500, 0.000), Cd at (0.000, 0.487, 0.750) and Cd at (0.143, 0.212, 0.750).

As for the crystal system: orthorhombic. The value obtained for the formation energy is -0.084 eV/atom.